1.
Compound: K2Cd6Pt
Source: the Alexandria database
Functional: GGA-PBE
Structure: optimized geometry

## Properties
Total magnetization, Bohr magnetons per cell: 0.00
Space group: No. 164
Formation enthalpy at 0 K, meV per atom: -121
Density, Mg/m³: 6.600

Unit cell a=6.392 b=6.392 c=6.740 alpha=90.00 beta=90.00 gamma=120.00
Atoms (fractional coordinates):
K1 0.333 0.667 0.369
K2 0.667 0.333 0.631
Cd1 0.169 0.339 0.817
Cd2 0.169 0.831 0.817
Cd3 0.339 0.169 0.183
Cd4 0.661 0.831 0.817
Cd5 0.831 0.169 0.183
Cd6 0.831 0.661 0.183
Pt1 0.000 0.000 0.500

---

2.
Compound: TlGe2Sb2
Source: the Alexandria database
Functional: GGA-PBE
Structure: optimized geometry

## Properties
Raw formation energy, kJ per mole of atoms: 13
Total magnetization, Bohr magnetons per cell: 0.00
Space group: No. 139
Density, Mg/m³: 7.222
Offset from the most stable computed form, eV per atom: 0.000

Unit cell a=6.068 b=6.068 c=6.068 alpha=127.50 beta=127.50 gamma=77.43
Atoms (fractional coordinates):
Tl1 0.000 0.000 0.000
Ge1 0.362 0.362 0.000
Ge2 0.638 0.638 0.000
Sb1 0.250 0.750 0.500
Sb2 0.750 0.250 0.500

---

3.
Compound: CdPbCl2
Source: the Alexandria database
Functional: GGA-PBE
Structure: optimized geometry

## Properties
Raw formation energy, kJ per mole of atoms: -48
Total magnetization, Bohr magnetons per cell: 0.00
Space group: No. 119
Density, Mg/m³: 6.183
Offset from the most stable computed form, eV per atom: 0.201

Unit cell a=6.187 b=6.187 c=6.187 alpha=138.01 beta=138.01 gamma=60.90
Atoms (fractional coordinates):
Cd1 0.000 0.000 0.000
Pb1 0.750 0.250 0.500
Cl1 0.250 0.750 0.500
Cl2 0.500 0.500 0.000

---

4.
Compound: Nd2YTm9
Source: the Alexandria database
Functional: GGA-PBE
Structure: optimized geometry

## Properties
Total magnetization, Bohr magnetons per cell: 0.00
Space group: No. 123
Formation enthalpy at 0 K, meV per atom: 29
Density, Mg/m³: 8.458
Offset from the most stable computed form, eV per atom: 0.000

Unit cell a=4.990 b=4.990 c=14.965 alpha=90.00 beta=90.00 gamma=90.00
Atoms (fractional coordinates):
Nd1 0.000 0.000 0.167
Nd2 0.000 0.000 0.833
Y1 0.000 0.000 0.500
Tm1 0.000 0.500 0.000
Tm2 0.000 0.500 0.335
Tm3 0.000 0.500 0.665
Tm4 0.500 0.000 0.000
Tm5 0.500 0.000 0.335
Tm6 0.500 0.000 0.665
Tm7 0.500 0.500 0.168
Tm8 0.500 0.500 0.500
Tm9 0.500 0.500 0.832

---

5.
Compound: CaTa2Al
Source: the Alexandria database
Functional: GGA-PBE
Structure: optimized geometry

## Properties
Total magnetization, Bohr magnetons per cell: 0.00
Space group: No. 12
Formation enthalpy at 0 K, meV per atom: 422
Density, Mg/m³: 8.915

Unit cell a=5.916 b=5.916 c=2.833 alpha=100.33 beta=100.33 gamma=120.27
Atoms (fractional coordinates):
Ca1 0.000 0.000 0.000
Ta1 0.000 0.500 0.500
Ta2 0.500 0.000 0.500
Al1 0.500 0.500 0.000

---

6.
Compound: FeAuCl2
Source: the Alexandria database
Functional: GGA-PBE
Structure: optimized geometry

## Properties
Raw formation energy, kJ per mole of atoms: 34
Total magnetization, Bohr magnetons per cell: 0.00
Space group: No. 122
Density, Mg/m³: 6.115
Offset from the most stable computed form, eV per atom: 0.580

Unit cell a=6.327 b=6.327 c=6.327 alpha=121.17 beta=121.17 gamma=87.99
Atoms (fractional coordinates):
Fe1 0.000 0.000 0.000
Fe2 0.750 0.250 0.500
Au1 0.250 0.750 0.500
Au2 0.500 0.500 0.000
Cl1 0.033 0.625 0.908
Cl2 0.375 0.283 0.408
Cl3 0.717 0.125 0.092
Cl4 0.875 0.967 0.592

---

Question: What is the density in the third record?
Answer: 6.183 Mg/m³

---

Please write out number 1 again, unchanged.
Compound: K2Cd6Pt
Source: the Alexandria database
Functional: GGA-PBE
Structure: optimized geometry

## Properties
Total magnetization, Bohr magnetons per cell: 0.00
Space group: No. 164
Formation enthalpy at 0 K, meV per atom: -121
Density, Mg/m³: 6.600

Unit cell a=6.392 b=6.392 c=6.740 alpha=90.00 beta=90.00 gamma=120.00
Atoms (fractional coordinates):
K1 0.333 0.667 0.369
K2 0.667 0.333 0.631
Cd1 0.169 0.339 0.817
Cd2 0.169 0.831 0.817
Cd3 0.339 0.169 0.183
Cd4 0.661 0.831 0.817
Cd5 0.831 0.169 0.183
Cd6 0.831 0.661 0.183
Pt1 0.000 0.000 0.500

---

Question: The lowest density belongs to which entry?
Answer: FeAuCl2